Here is Na2SnBiO after structural relaxation from Alexandria. Energies are from PBE-GGA.

a b c (Å): 4.656 4.656 4.899
angles (deg): 90.00 90.00 90.00
Space group P4/mmm (No. 123)
Symmetry-distinct sites (fractional):
Na  0.000  0.500  0.000 x2
Sn  0.000  0.000  0.500 x1
Bi  0.500  0.500  0.500 x1
O  0.000  0.000  0.000 x1

Results
The calculation puts the offset from the most stable computed form at 0.00 eV per formula unit. For the density of states at the Fermi level, the calculation gives 0.462 states/eV per atom.

Here is Sc2InPb after structural relaxation from Alexandria. Energies are from PBE-GGA.

a b c (Å): 9.595 3.452 6.124
angles (deg): 90.00 101.41 90.00
Space group C2/m (No. 12)
Symmetry-distinct sites (fractional):
Sc  0.249  0.000  0.239 x4
In  0.000  0.500  0.000 x2
Pb  0.000  0.000  0.500 x2

Results
For the density of states at the Fermi level, the calculation gives 0.790 states/eV per atom. As for the formation energy: -0.29 eV/atom.

Here is Li4ErSn after structural relaxation from Alexandria. Energies are from PBE-GGA.

a b c (Å): 7.774 7.774 7.774
angles (deg): 90.00 90.00 90.00
Space group F-43m (No. 216)
Symmetry-distinct sites (fractional):
Li  0.125  0.125  0.125 x16
Er  0.000  0.000  0.500 x4
Sn  0.250  0.250  0.750 x4

Results
For the density of states at the Fermi level, the calculation gives 0.610 states/eV per atom. As for the formation energy: -0.15 eV/atom.

Here is AcPrY after structural relaxation from Alexandria. Energies are from PBE-GGA.

a b c (Å): 5.9913 5.9913 7.3373
angles (deg): 90.00 90.00 120.00
Space group P6_3/mmc (No. 194)
Symmetry-distinct sites (fractional):
Ac  0.3333  0.6667  0.2500 x2
Pr  0.0000  0.0000  0.0000 x2
Y  0.3333  0.6667  0.7500 x2

Results
The calculation puts the offset from the most stable computed form at 0.27 eV per formula unit. For the density of states at the Fermi level, the calculation gives 1.793 states/eV per atom. As for the formation energy: 0.12 eV/atom.

Here is LaBeSn2S after structural relaxation from Alexandria. Energies are from PBE-GGA.

a b c (Å): 4.511 4.511 6.215
angles (deg): 90.00 90.00 90.00
Space group P4/mmm (No. 123)
Symmetry-distinct sites (fractional):
La  0.000  0.000  0.000 x1
Be  0.000  0.000  0.500 x1
Sn  0.000  0.500  0.500 x2
S  0.500  0.500  0.000 x1

Results
As for the raw total energy: -22.18 eV per formula unit. For the density of states at the Fermi level, the calculation gives 0.831 states/eV per atom.

Here is Dy2Ag3Pd after structural relaxation from Alexandria. Energies are from PBE-GGA.

a b c (Å): 3.382 4.782 8.079
angles (deg): 90.00 90.00 90.00
Space group Pmm2 (No. 25)
Symmetry-distinct sites (fractional):
Dy  0.000  0.000  0.000 x1
Dy  0.000  0.500  0.455 x1
Ag  0.500  0.000  0.643 x1
Ag  0.500  0.500  0.138 x1
Ag  0.500  0.500  0.802 x1
Pd  0.500  0.000  0.305 x1

Results
For the density of states at the Fermi level, the calculation gives 0.722 states/eV per atom. As for the formation energy: -0.39 eV/atom.